[1]
Material: NaCoTeAuSe2
Method: DFT, PBE
State: optimized geometry

Output
**V**: 23.08 Å³/atom
**Raw total energy**: -3.92 eV/atom

Cell: 7.872 7.872 10.235 Å, 90.00 90.00 154.12°
Element x y z (fractional)
Au1 0.121 0.879 0.250
Au2 0.879 0.121 0.750
Co1 0.500 0.500 0.000
Co2 0.500 0.500 0.500
Na1 0.775 0.225 0.250
Na2 0.225 0.775 0.750
Se1 0.107 0.893 0.010
Se2 0.107 0.893 0.490
Se3 0.893 0.107 0.510
Se4 0.893 0.107 0.990
Te1 0.450 0.550 0.250
Te2 0.550 0.450 0.750

***

[2]
Material: NaCoTcAu
Method: DFT, PBE
State: optimized geometry

Output
**V**: 16.00 Å³/atom
**Energy above the lowest structure with this stoichiometry**: 0.000 eV/atom

Cell: 4.490 4.490 4.490 Å, 60.00 60.00 60.00°
Element x y z (fractional)
Au1 0.500 0.500 0.500
Co1 0.000 0.000 0.000
Na1 0.750 0.750 0.750
Tc1 0.250 0.250 0.250

***

[3]
Material: NaCoTcAu
Method: DFT, PBE
State: optimized geometry

Output
**V**: 14.65 Å³/atom
**Energy above the lowest structure with this stoichiometry**: 0.022 eV/atom

Cell: 4.360 4.360 4.360 Å, 60.00 60.00 60.00°
Element x y z (fractional)
Au1 0.000 0.000 0.000
Co1 0.250 0.250 0.250
Na1 0.750 0.750 0.750
Tc1 0.500 0.500 0.500

***

[4]
Material: NaCoTe3Au
Method: DFT, PBE
State: optimized geometry

Output
**V**: 25.48 Å³/atom
**Raw total energy**: -3.72 eV/atom

Cell: 7.770 7.770 10.747 Å, 90.00 90.00 151.88°
Element x y z (fractional)
Au1 0.613 0.387 0.250
Au2 0.387 0.613 0.750
Co1 0.000 0.000 0.000
Co2 0.000 0.000 0.500
Na1 0.266 0.734 0.250
Na2 0.734 0.266 0.750
Te1 0.616 0.384 0.006
Te2 0.953 0.047 0.250
Te3 0.616 0.384 0.494
Te4 0.384 0.616 0.506
Te5 0.047 0.953 0.750
Te6 0.384 0.616 0.994

***

[5]
Material: NbCoAu
Method: DFT, PBE
State: optimized geometry

Output
**V**: 17.21 Å³/atom
**DFT formation energy**: 0.25 eV/atom
**Energy above the lowest structure with this stoichiometry**: 0.000 eV/atom

Cell: 4.180 4.180 4.180 Å, 60.00 60.00 60.00°
Element x y z (fractional)
Au1 0.250 0.250 0.250
Co1 0.000 0.000 0.000
Nb1 0.750 0.750 0.750

***

[6]
Material: Nb2Co2Au
Method: DFT, PBE
State: optimized geometry

Output
**V**: 14.81 Å³/atom
**DFT formation energy**: -0.16 eV/atom

Cell: 6.935 6.935 3.079 Å, 90.00 90.00 90.00°
Element x y z (fractional)
Au1 0.000 0.000 0.000
Au2 0.500 0.500 0.000
Co1 0.372 0.128 0.000
Co2 0.872 0.372 0.000
Co3 0.128 0.628 0.000
Co4 0.628 0.872 0.000
Nb1 0.670 0.170 0.500
Nb2 0.170 0.330 0.500
Nb3 0.830 0.670 0.500
Nb4 0.330 0.830 0.500

***

[7]
Material: Nb2CoAu
Method: DFT, PBE
State: optimized geometry

Output
**V**: 16.08 Å³/atom
**DFT formation energy**: 0.18 eV/atom

Cell: 4.497 4.497 4.497 Å, 60.00 60.00 60.00°
Element x y z (fractional)
Au1 0.500 0.500 0.500
Co1 0.250 0.250 0.250
Nb1 0.000 0.000 0.000
Nb2 0.750 0.750 0.750

***

[8]
Material: NbCoAu
Method: DFT, PBE
State: optimized geometry

Output
**V**: 18.61 Å³/atom
**DFT formation energy**: 0.57 eV/atom
**Energy above the lowest structure with this stoichiometry**: 0.315 eV/atom

Cell: 4.290 4.290 4.290 Å, 60.00 60.00 60.00°
Element x y z (fractional)
Au1 0.250 0.250 0.250
Co1 0.750 0.750 0.750
Nb1 0.000 0.000 0.000

***

no.,M_tot (μB/f.u.)
1,0.0
2,3.9
3,0.1
4,0.0
5,0.5
6,0.1
7,1.5
8,0.8